CaGa2Cl | PBE-GGA | optimized geometry

Summary:
Total DFT energy (no corrections) in eV for the cell shown: -41.60
Size of the total moment in Bohr magnetons per cell: 0.0
Offset from the most stable computed form in meV per atom: 318
Uncorrected formation energy in eV/atom: -0.12

a = 7.407 Å, b = 7.407 Å, c = 7.407 Å
α = 90.00°, β = 90.00°, γ = 90.00°
Fractional coordinates of all 16 atoms:
Ca: 0.000 0.000 0.000
Ca: 0.000 0.500 0.500
Ca: 0.500 0.000 0.500
Ca: 0.500 0.500 0.000
Ga: 0.250 0.250 0.250
Ga: 0.250 0.250 0.750
Ga: 0.250 0.750 0.250
Ga: 0.250 0.750 0.750
Ga: 0.750 0.250 0.250
Ga: 0.750 0.250 0.750
Ga: 0.750 0.750 0.250
Ga: 0.750 0.750 0.750
Cl: 0.000 0.000 0.500
Cl: 0.000 0.500 0.000
Cl: 0.500 0.000 0.000
Cl: 0.500 0.500 0.500